<i>
The following is a DFT calculation (PBE+U) of LiFe8O14F2 after structural relaxation.

Computed properties:
SG: No. 1
Mass density (Mg/m³): 4.08
M_tot (μB/atom): 0.0417
DOS at the Fermi energy (states/eV/f.u.): 5.86
Crystal system: triclinic

Structure (POSCAR):
```
LiFe8O14F2
1.0
5.057 0.005 -0.029
0.894 4.988 -0.020
0.053 0.087 11.551
Li Fe O F
1 8 14 2
direct
0.294 0.304 0.744
0.998 0.994 0.999
0.978 0.973 0.750
0.969 0.017 0.498
0.996 0.980 0.252
0.570 0.569 0.879
0.426 0.395 0.367
0.567 0.561 0.130
0.585 0.568 0.619
0.819 0.813 0.874
0.828 0.846 0.384
0.829 0.819 0.131
0.818 0.819 0.627
0.718 0.338 0.004
0.678 0.320 0.752
0.662 0.311 0.496
0.690 0.303 0.246
0.341 0.713 0.005
0.324 0.679 0.749
0.315 0.676 0.251
0.143 0.138 0.862
0.128 0.145 0.627
0.166 0.164 0.376
0.290 0.684 0.499
0.176 0.163 0.128
```



<ii>
The following is a DFT calculation (PBE+U) of LiFe8O14F2 after structural relaxation.

Computed properties:
SG: No. 1
Mass density (Mg/m³): 4.57
M_tot (μB/atom): 1.0791
DOS at the Fermi energy (states/eV/f.u.): 5.64
Crystal system: triclinic

Structure (POSCAR):
```
LiFe8O14F2
1.0
-5.483 0.538 0.039
-2.781 -5.452 3.771
-2.064 3.787 5.948
Li Fe O F
1 8 14 2
direct
0.758 0.877 0.370
0.496 0.241 0.744
0.034 0.002 0.526
0.482 0.264 0.242
0.522 0.752 0.752
0.000 0.491 0.507
0.998 0.008 0.989
0.468 0.758 0.230
0.980 0.496 0.020
0.642 0.167 0.987
0.144 0.230 0.917
0.849 0.262 0.591
0.369 0.018 0.336
0.337 0.337 0.513
0.851 0.581 0.774
0.168 0.909 0.740
0.130 0.422 0.241
0.648 0.657 0.501
0.671 0.980 0.648
0.621 0.488 0.172
0.128 0.751 0.415
0.833 0.781 0.098
0.340 0.838 0.008
0.347 0.514 0.841
0.850 0.103 0.258
```



<i> ends up most stable, edging out the next structure by 0.102 eV/atom.



<i>
The following is a DFT calculation (PBE+U) of LiFe8O14F2 after structural relaxation.

Computed properties:
SG: No. 1
Mass density (Mg/m³): 4.59
M_tot (μB/atom): 0.3796
DOS at the Fermi energy (states/eV/f.u.): 10.37
Crystal system: triclinic

Structure (POSCAR):
```
LiFe8O14F2
1.0
4.669 0.014 -0.013
0.012 4.635 -0.001
-0.096 -0.034 11.958
Li Fe O F
1 8 14 2
direct
0.990 0.491 0.714
0.983 0.004 0.008
0.994 0.000 0.253
0.964 0.971 0.500
0.982 0.996 0.751
0.491 0.498 0.124
0.487 0.505 0.627
0.509 0.469 0.881
0.496 0.503 0.368
0.788 0.214 0.127
0.808 0.198 0.629
0.819 0.189 0.874
0.790 0.190 0.377
0.679 0.686 0.003
0.680 0.694 0.241
0.666 0.679 0.499
0.677 0.697 0.759
0.309 0.297 0.004
0.305 0.310 0.244
0.305 0.282 0.757
0.200 0.793 0.125
0.178 0.790 0.377
0.156 0.785 0.629
0.289 0.281 0.501
0.177 0.782 0.876
```



<ii>
The following is a DFT calculation (PBE+U) of LiFe8O14F2 after structural relaxation.

Computed properties:
SG: No. 1
Mass density (Mg/m³): 4.59
M_tot (μB/atom): 1.1600
DOS at the Fermi energy (states/eV/f.u.): 8.14
Crystal system: triclinic

Structure (POSCAR):
```
LiFe8O14F2
1.0
5.500 -0.030 -0.023
2.294 6.854 0.045
2.383 0.385 6.857
Li Fe O F
1 8 14 2
direct
0.789 0.854 0.356
0.491 0.256 0.759
0.979 0.499 0.006
0.518 0.750 0.751
0.473 0.262 0.236
0.997 0.491 0.515
0.995 0.026 0.995
0.475 0.740 0.248
0.033 0.998 0.518
0.348 0.025 0.829
0.844 0.090 0.773
0.147 0.420 0.742
0.638 0.671 0.987
0.642 0.478 0.677
0.148 0.233 0.424
0.828 0.285 0.089
0.869 0.762 0.590
0.331 0.514 0.334
0.325 0.341 0.016
0.387 0.828 0.508
0.829 0.595 0.270
0.134 0.919 0.239
0.644 0.000 0.161
0.651 0.159 0.484
0.139 0.737 0.919
```



<ii> ends up most stable, edging out the next structure by 0.018 eV/atom.